Entry 1:
Material: Nd7Bi2N2
Method: DFT, PBE
State: relaxed

Results
**Raw formation energy**: -0.6239 eV per atom

Lattice parameters (Å, degrees): 7.160 7.160 6.646 95.88 95.88 92.32
Fractional positions:
Nd 0.000 0.000 0.000
Nd 0.131 0.471 0.799
Nd 0.382 0.382 0.299
Nd 0.471 0.131 0.799
Nd 0.529 0.869 0.201
Nd 0.618 0.618 0.701
Nd 0.869 0.529 0.201
Bi 0.194 0.806 0.500
Bi 0.806 0.194 0.500
N 0.239 0.239 0.001
N 0.761 0.761 0.999


Entry 2:
Material: HfTeAs2Se
Method: DFT, PBE
State: relaxed

Results
**Raw formation energy**: 0.1292 eV per atom

Lattice parameters (Å, degrees): 5.268 5.268 4.990 90.00 90.00 90.00
Fractional positions:
Hf 0.000 0.000 0.000
Te 0.500 0.500 0.500
As 0.000 0.500 0.000
As 0.500 0.000 0.000
Se 0.000 0.000 0.500


Entry 3:
Material: La2TaGa2
Method: DFT, PBE
State: relaxed

Results
**Energy relative to the elements**: -0.124 eV/atom

Lattice parameters (Å, degrees): 7.372 7.372 4.613 90.00 90.00 90.00
Fractional positions:
La 0.169 0.331 0.000
La 0.331 0.831 0.000
La 0.669 0.169 0.000
La 0.831 0.669 0.000
Ta 0.000 0.000 0.500
Ta 0.500 0.500 0.500
Ga 0.136 0.636 0.500
Ga 0.364 0.136 0.500
Ga 0.636 0.864 0.500
Ga 0.864 0.364 0.500


no.,density (g cm⁻³),size of the total moment (μB/atom),E_tot (eV per cell)
1,7.18,0.000,-64.65
2,6.41,0.000,-25.23
3,7.92,0.210,-56.77